1.
A crystal of La5Bi3Br relaxed with PBEsol, computed with meta-GGA SCAN.

Unit cell a=6.726 b=9.680 c=9.680 alpha=120.00 beta=90.00 gamma=90.00
Atoms (fractional coordinates):
La (0.750, 0.000, 0.271)
La (0.250, 0.729, 0.000)
La (0.250, 0.271, 0.271)
La (0.000, 0.333, 0.667)
La (0.500, 0.333, 0.667)
La (0.000, 0.667, 0.333)
La (0.500, 0.667, 0.333)
La (0.250, 0.000, 0.729)
La (0.750, 0.729, 0.729)
La (0.750, 0.271, 0.000)
Bi (0.750, 0.000, 0.616)
Bi (0.250, 0.000, 0.384)
Bi (0.250, 0.384, 0.000)
Bi (0.750, 0.384, 0.384)
Bi (0.750, 0.616, 0.000)
Bi (0.250, 0.616, 0.616)
Br (0.000, 0.000, 0.000)
Br (0.500, 0.000, 0.000)

Computed properties:
Fermi-level density of states	11.173	states/eV per cell
DFT total energy	-53.56	eV/atom
E_form (uncorrected)	-1.26	eV/atom
symmetry	P6_3/mcm

2.
A crystal of ZrRhSe2 relaxed with PBEsol, computed with meta-GGA SCAN.

Unit cell a=3.583 b=4.031 c=5.906 alpha=104.95 beta=90.00 gamma=116.39
Last column: magnetic moment on the atom in μB.
Atoms (fractional coordinates):
Rh (0.500, 0.000, 0.000)  0.84
Se (0.752, 0.504, 0.772)  0.08
Se (0.248, 0.496, 0.228)  0.08
Zr (0.000, 0.000, 0.500)  0.09

Computed properties:
Fermi-level density of states	2.683	states/eV per cell
DFT total energy	-26.76	eV/atom
E_form (uncorrected)	-0.61	eV/atom
symmetry	C2/m